Record 1
## ScTi2BPb (PBE)

Data for an optimized crystal structure of ScTi2BPb.

Values from the calculation:
The value obtained for the total magnetic moment is 0.0 μB/f.u. The value obtained for the total energy is -6.869 eV per atom.

Unit cell a=4.397 b=4.397 c=4.594 alpha=90.00 beta=90.00 gamma=90.00
Positions (direct):
Sc (0.000, 0.000, 0.000)
Ti (0.000, 0.500, 0.500)
Ti (0.500, 0.000, 0.500)
B (0.000, 0.000, 0.500)
Pb (0.500, 0.500, 0.000)

=====

Record 2
## ScTlB2Pb (PBE)

Data for an optimized crystal structure of ScTlB2Pb.

Values from the calculation:
The value obtained for the total magnetic moment is 0.0 μB/f.u. The value obtained for the total energy is -3.542 eV per atom.

Unit cell a=4.627 b=4.627 c=5.660 alpha=90.00 beta=90.00 gamma=90.00
Positions (direct):
Sc (0.000, 0.000, 0.000)
Tl (0.500, 0.500, 0.000)
B (0.000, 0.500, 0.500)
B (0.500, 0.000, 0.500)
Pb (0.000, 0.000, 0.500)

=====

Record 3
## YSc2BPb (PBE)

Data for an optimized crystal structure of YSc2BPb.

Values from the calculation:
The value obtained for the total magnetic moment is 0.0 μB/f.u. The value obtained for the total energy is -6.382 eV per atom.

Unit cell a=4.735 b=4.735 c=4.989 alpha=90.00 beta=90.00 gamma=90.00
Positions (direct):
Y (0.000, 0.000, 0.000)
Sc (0.000, 0.500, 0.500)
Sc (0.500, 0.000, 0.500)
B (0.000, 0.000, 0.500)
Pb (0.500, 0.500, 0.000)

=====

What E_form values result from the calculations? In sequence: -0.37 1.61 -0.48 eV per atom.